Density functional theory data (PBE) for a relaxed structure of ErTm8Bi2.

The calculation puts the total magnetic moment at 0.0 μB per cell. As for the crystal system: monoclinic. The energy relative to the elements is 0.078 eV/atom.

The space group is C2/m (No. 12) and the conventional cell measures 14.838, 8.675 and 6.193 Å, with angles of 90.00, 109.06 and 90.00 degrees. The distinct sites, in fractional coordinates, are Er at (0.000, 0.000, 0.000), Tm at (0.088, 0.500, 0.745), Tm at (0.116, 0.315, 0.244), Tm at (0.189, 0.000, 0.859) and Bi at (0.216, 0.000, 0.385).